Material: CdAg2Sb
Method: DFT, PBEsol
State: relaxed

Total magnetization   0.000 μB per atom
SG   No. 25
Formation energy without anion corrections   0.05 eV/atom
E above lowest polymorph   5.8 meV/atom

a b c (Å): 3.292 4.065 5.936
angles (deg): 90.00 90.00 90.00
Fractional positions:
Sb1 0.500 0.500 0.767
Cd1 0.000 0.000 0.476
Ag1 0.000 0.000 0.006
Ag2 0.500 0.500 0.250

Material: LaSeBr
Method: DFT, PBEsol
State: relaxed

Total magnetization   0.000 μB per atom
SG   No. 216
Formation energy without anion corrections   -1.94 eV/atom

a b c (Å): 5.010 5.010 5.010
angles (deg): 60.00 60.00 60.00
Fractional positions:
Se1 0.000 0.000 0.000
Br1 0.500 0.500 0.500
La1 0.750 0.750 0.750

Material: NbCuI2N
Method: DFT, PBEsol
State: relaxed

Total magnetization   0.027 μB per atom
SG   No. 123
Formation energy without anion corrections   0.38 eV/atom

a b c (Å): 3.878 5.559 5.559
angles (deg): 90.00 90.00 90.00
Site moments in Bohr magnetons follow the coordinates.
Fractional positions:
Cu1 0.500 0.500 0.500  0.01
I1 0.000 0.000 0.500  0.00
I2 0.000 0.500 0.000  0.00
Nb1 0.000 0.000 0.000  0.10
N1 0.500 0.000 0.000  -0.01